Record 1
Below is In3HF after structural relaxation, with properties calculated at the PBE-GGA level.

Summary:
Its crystal system is cubic. Its relative energy among the computed polymorphs is 0.000 eV/f.u. The total energy is -2.887 eV per atom.

Cell: 4.7221 4.7221 4.7221 Å, 90.00 90.00 90.00°
Closest atoms and distances in Å follow each position.
Element x y z (fractional)
1 In 0.0000 0.0000 0.5000  2 H 2.36
2 In 0.0000 0.5000 0.0000  2 H 2.36
3 In 0.5000 0.0000 0.0000  2 H 2.36
4 H 0.0000 0.0000 0.0000  6 In 2.36
5 F 0.5000 0.5000 0.5000  12 In 3.34


Record 2
Below is PmHgO2F after structural relaxation, with properties calculated at the PBE-GGA level.

Summary:
Its crystal system is monoclinic. The calculation puts the formation energy from raw total energies at -2.313 eV/atom. The total energy is -5.681 eV per atom.

Cell: 6.3005 4.0250 6.6868 Å, 90.00 107.64 90.00°
Closest atoms and distances in Å follow each position.
Element x y z (fractional)
1 Pm 0.0469 0.2500 0.2591  1 F 2.23, 3 O 2.34-2.44
2 Pm 0.9531 0.7500 0.7409  1 F 2.23, 3 O 2.34-2.44
3 Hg 0.4730 0.2500 0.7964  2 O 2.08-2.09
4 Hg 0.5270 0.7500 0.2036  2 O 2.08-2.09
5 O 0.1289 0.2500 0.6564  1 Hg 2.08
6 O 0.1796 0.7500 0.0895  1 Hg 2.09, 1 Pm 2.34
7 O 0.8204 0.2500 0.9105  1 Hg 2.09, 1 Pm 2.34
8 O 0.8711 0.7500 0.3436  1 Hg 2.08
9 F 0.4177 0.2500 0.3708  1 Pm 2.23
10 F 0.5823 0.7500 0.6292  1 Pm 2.23


Record 3
Below is Ta3V3N after structural relaxation, with properties calculated at the PBE-GGA level.

Summary:
Its crystal system is cubic. The calculation puts the formation energy from raw total energies at -0.487 eV/atom. The total energy is -10.664 eV per atom.

Cell: 8.2488 8.2488 8.2488 Å, 60.00 60.00 60.00°
Closest atoms and distances in Å follow each position.
Element x y z (fractional)
1 Ta 0.0642 0.0642 0.6858  2 N 2.19
2 Ta 0.0642 0.6858 0.0642  2 N 2.19
3 Ta 0.0642 0.6858 0.6858  2 N 2.19
4 Ta 0.3142 0.3142 0.9358  2 N 2.19
5 Ta 0.3142 0.9358 0.3142  2 N 2.19
6 Ta 0.3142 0.9358 0.9358  2 N 2.19
7 Ta 0.6858 0.0642 0.0642  2 N 2.19
8 Ta 0.6858 0.0642 0.6858  2 N 2.19
9 Ta 0.6858 0.6858 0.0642  2 N 2.19
10 Ta 0.9358 0.3142 0.3142  2 N 2.19
11 Ta 0.9358 0.3142 0.9358  2 N 2.19
12 Ta 0.9358 0.9358 0.3142  2 N 2.19
13 V 0.0000 0.5000 0.5000  6 V 2.52
14 V 0.2928 0.2928 0.2928  6 V 2.52-2.71, 3 Ta 2.78
15 V 0.2928 0.2928 0.6217  6 V 2.52-2.71, 3 Ta 2.78
16 V 0.2928 0.6217 0.2928  6 V 2.52-2.71, 3 Ta 2.78
17 V 0.3783 0.7072 0.7072  6 V 2.52-2.71, 3 Ta 2.78
18 V 0.5000 0.0000 0.5000  6 V 2.52
19 V 0.5000 0.5000 0.0000  6 V 2.52
20 V 0.5000 0.5000 0.5000  6 V 2.52
21 V 0.6217 0.2928 0.2928  6 V 2.52-2.71, 3 Ta 2.78
22 V 0.7072 0.3783 0.7072  6 V 2.52-2.71, 3 Ta 2.78
23 V 0.7072 0.7072 0.3783  6 V 2.52-2.71, 3 Ta 2.78
24 V 0.7072 0.7072 0.7072  6 V 2.52-2.71, 3 Ta 2.78
25 N 0.0000 0.0000 0.0000  6 Ta 2.19
26 N 0.0000 0.0000 0.5000  6 Ta 2.19
27 N 0.0000 0.5000 0.0000  6 Ta 2.19
28 N 0.5000 0.0000 0.0000  6 Ta 2.19